1.
DFT (PBE) results for an optimized crystal structure of DyZn2.

```
DyZn2
1.0
4.906 0.000 0.000
0.000 10.494 0.000
0.000 0.000 4.522
Dy Zn
4 8
Cartesian
4.577 0.000 0.000 Dy
2.124 5.247 0.000 Dy
1.963 0.000 2.261 Dy
4.416 5.247 2.261 Dy
2.430 2.019 0.000 Zn
4.882 3.227 0.000 Zn
4.882 7.266 0.000 Zn
2.430 8.474 0.000 Zn
4.111 2.019 2.261 Zn
1.658 3.227 2.261 Zn
1.658 7.266 2.261 Zn
4.111 8.474 2.261 Zn
```

* energy of formation: -62 kJ/mol of formula units


2.
DFT (PBE) results for an optimized crystal structure of DyZrZn.

```
DyZrZn
1.0
0.000 3.350 3.350
3.350 0.000 3.350
3.350 3.350 0.000
Dy Zn Zr
1 1 1
Cartesian
1.675 1.675 1.675 Dy
0.000 0.000 0.000 Zn
5.026 5.026 5.026 Zr
```

* energy of formation: 57 kJ/mol of formula units